1.
## TlPRu2 (PBE)

Data for TlPRu2 after structural relaxation.

Energy above the lowest structure with this stoichiometry ... 0.206 eV per atom

Cell: 2.965 3.505 6.591 Å, 90.00 99.10 90.00°
Space group P2/m (No. 10)
Asymmetric unit:
Tl (0.000, 0.000, 0.000) [1 per cell]
P (0.500, 0.000, 0.500) [1 per cell]
Ru (0.314, 0.500, 0.682) [2 per cell]

***

2.
## TlPRu2 (PBE)

Data for TlPRu2 after structural relaxation.

Energy above the lowest structure with this stoichiometry ... 0.783 eV per atom

Cell: 6.403 6.403 6.403 Å, 90.00 90.00 90.00°
Space group F-43m (No. 216)
Asymmetric unit:
Tl (0.000, 0.000, 0.000) [4 per cell]
P (0.250, 0.250, 0.250) [4 per cell]
Ru (0.000, 0.000, 0.500) [4 per cell]
Ru (0.250, 0.250, 0.750) [4 per cell]

***

3.
## TlPRu2 (PBE)

Data for TlPRu2 after structural relaxation.

Energy above the lowest structure with this stoichiometry ... 0.489 eV per atom

Cell: 4.433 4.433 3.178 Å, 90.00 90.00 90.00°
Space group P4/mmm (No. 123)
Asymmetric unit:
Tl (0.000, 0.000, 0.000) [1 per cell]
P (0.500, 0.500, 0.000) [1 per cell]
Ru (0.000, 0.500, 0.500) [2 per cell]

***

4.
## TlPRu2 (PBE)

Data for TlPRu2 after structural relaxation.

Energy above the lowest structure with this stoichiometry ... 0.235 eV per atom

Cell: 6.920 6.920 5.782 Å, 90.00 90.00 90.00°
Space group I-42d (No. 122)
Asymmetric unit:
Tl (0.000, 0.000, 0.000) [4 per cell]
P (0.000, 0.000, 0.500) [4 per cell]
Ru (0.172, 0.250, 0.625) [8 per cell]

***

5.
## Tl2PRu (PBE)

Data for Tl2PRu after structural relaxation.

Energy above the lowest structure with this stoichiometry ... 0.722 eV per atom

Cell: 3.4821 3.4821 23.6522 Å, 90.00 90.00 120.00°
Space group R-3m (No. 166, hexagonal axes)
Asymmetric unit:
Tl (0.0000, 0.0000, 0.2495) [6 per cell]
P (0.0000, 0.0000, 0.0000) [3 per cell]
Ru (0.0000, 0.0000, 0.5000) [3 per cell]

***

6.
## Tl2PRu (PBE)

Data for Tl2PRu after structural relaxation.

Energy above the lowest structure with this stoichiometry ... 0.802 eV per atom

Cell: 4.360 4.360 8.297 Å, 90.00 90.00 90.00°
Space group I4/mmm (No. 139)
Asymmetric unit:
Tl (0.000, 0.500, 0.250) [4 per cell]
P (0.000, 0.000, 0.000) [2 per cell]
Ru (0.000, 0.000, 0.500) [2 per cell]

***

7.
## Tl2PRu (PBE)

Data for Tl2PRu after structural relaxation.

Energy above the lowest structure with this stoichiometry ... 0.158 eV per atom

Cell: 3.487 4.764 10.507 Å, 90.00 90.00 90.00°
Space group Amm2 (No. 38)
Asymmetric unit:
Tl (0.000, 0.000, 0.000) [2 per cell]
Tl (0.500, 0.000, 0.299) [2 per cell]
P (0.000, 0.000, 0.711) [2 per cell]
Ru (0.500, 0.000, 0.578) [2 per cell]

***

8.
## Tl2PRu (PBE)

Data for Tl2PRu after structural relaxation.

Energy above the lowest structure with this stoichiometry ... 0.718 eV per atom

Cell: 3.580 3.580 6.113 Å, 90.00 90.00 90.00°
Space group P4/mmm (No. 123)
Asymmetric unit:
Tl (0.000, 0.000, 0.247) [2 per cell]
P (0.500, 0.500, 0.500) [1 per cell]
Ru (0.500, 0.500, 0.000) [1 per cell]

***

9.
## TlPRu2 (PBE)

Data for TlPRu2 after structural relaxation.

Energy above the lowest structure with this stoichiometry ... 0.263 eV per atom

Cell: 3.240 3.240 6.449 Å, 90.00 90.00 90.00°
Space group P4mm (No. 99)
Asymmetric unit:
Tl (0.000, 0.000, 0.000) [1 per cell]
P (0.500, 0.500, 0.364) [1 per cell]
Ru (0.000, 0.000, 0.461) [1 per cell]
Ru (0.500, 0.500, 0.728) [1 per cell]

***

10.
## Tl2PRu (PBE)

Data for Tl2PRu after structural relaxation.

Energy above the lowest structure with this stoichiometry ... 0.000 eV per atom

Cell: 3.112 3.112 8.896 Å, 90.00 90.00 90.00°
Space group P4mm (No. 99)
Asymmetric unit:
Tl (0.000, 0.000, 0.000) [1 per cell]
Tl (0.500, 0.500, 0.354) [1 per cell]
P (0.000, 0.000, 0.624) [1 per cell]
Ru (0.500, 0.500, 0.733) [1 per cell]

***

11.
## TlP3Ru (PBE)

Data for TlP3Ru after structural relaxation.

Energy above the lowest structure with this stoichiometry ... 0.000 eV per atom

Cell: 4.682 4.682 4.682 Å, 90.00 90.00 90.00°
Space group Pm-3m (No. 221)
Asymmetric unit:
Tl (0.000, 0.000, 0.000) [1 per cell]
P (0.000, 0.500, 0.500) [3 per cell]
Ru (0.500, 0.500, 0.500) [1 per cell]

***

12.
## Tl2PRu (PBE)

Data for Tl2PRu after structural relaxation.

Energy above the lowest structure with this stoichiometry ... 0.738 eV per atom

Cell: 3.605 5.025 8.767 Å, 90.00 90.00 90.00°
Space group Immm (No. 71)
Asymmetric unit:
Tl (0.000, 0.000, 0.248) [4 per cell]
P (0.000, 0.500, 0.500) [2 per cell]
Ru (0.000, 0.500, 0.000) [2 per cell]

***

13.
## TlP2Ru2 (PBE)

Data for TlP2Ru2 after structural relaxation.

Cell: 3.722 3.722 12.015 Å, 90.00 90.00 90.00°
Space group I4/mmm (No. 139)
Asymmetric unit:
Tl (0.000, 0.000, 0.000) [2 per cell]
P (0.000, 0.500, 0.250) [4 per cell]
Ru (0.000, 0.000, 0.365) [4 per cell]

***

14.
## TlPRu2 (PBE)

Data for TlPRu2 after structural relaxation.

Energy above the lowest structure with this stoichiometry ... 0.000 eV per atom

Cell: 3.5372 3.5372 19.3134 Å, 90.00 90.00 120.00°
Space group R-3m (No. 166, hexagonal axes)
Asymmetric unit:
Tl (0.0000, 0.0000, 0.0000) [3 per cell]
P (0.0000, 0.0000, 0.5000) [3 per cell]
Ru (0.0000, 0.0000, 0.2212) [6 per cell]

***

15.
## TlPRu2 (PBE)

Data for TlPRu2 after structural relaxation.

Energy above the lowest structure with this stoichiometry ... 0.259 eV per atom

Cell: 3.107 4.518 4.988 Å, 90.00 90.16 90.00°
Space group Pm (No. 6)
Asymmetric unit:
Tl (0.000, 0.000, 0.000) [1 per cell]
P (0.501, 0.500, 0.345) [1 per cell]
Ru (0.002, 0.500, 0.671) [1 per cell]
Ru (0.501, 0.000, 0.495) [1 per cell]

***

16.
## Tl2PRu (PBE)

Data for Tl2PRu after structural relaxation.

Energy above the lowest structure with this stoichiometry ... 0.739 eV per atom

Cell: 6.135 8.029 3.205 Å, 90.00 90.00 90.00°
Space group Cmmm (No. 65)
Asymmetric unit:
Tl (0.250, 0.250, 0.000) [4 per cell]
P (0.000, 0.000, 0.500) [2 per cell]
Ru (0.000, 0.500, 0.500) [2 per cell]

***

17.
## Tl2PRu (PBE)

Data for Tl2PRu after structural relaxation.

Energy above the lowest structure with this stoichiometry ... 0.786 eV per atom

Cell: 3.837 5.029 8.499 Å, 90.00 90.00 90.00°
Space group Cmmm (No. 65)
Asymmetric unit:
Tl (0.000, 0.000, 0.237) [4 per cell]
P (0.000, 0.500, 0.500) [2 per cell]
Ru (0.000, 0.500, 0.000) [2 per cell]

***

18.
## Tl2PRu (PBE)

Data for Tl2PRu after structural relaxation.

Energy above the lowest structure with this stoichiometry ... 0.809 eV per atom

Cell: 6.873 6.873 6.873 Å, 90.00 90.00 90.00°
Space group F-43m (No. 216)
Asymmetric unit:
Tl (0.000, 0.000, 0.000) [4 per cell]
Tl (0.250, 0.250, 0.250) [4 per cell]
P (0.250, 0.250, 0.750) [4 per cell]
Ru (0.000, 0.000, 0.500) [4 per cell]

***

19.
## TlPRu2 (PBE)

Data for TlPRu2 after structural relaxation.

Energy above the lowest structure with this stoichiometry ... 0.713 eV per atom

Cell: 6.020 8.329 3.036 Å, 90.00 118.88 90.00°
Space group C2/m (No. 12)
Asymmetric unit:
Tl (0.000, 0.000, 0.000) [2 per cell]
P (0.000, 0.500, 0.000) [2 per cell]
Ru (0.250, 0.250, 0.500) [4 per cell]

***

20.
## Tl2P2Ru (PBE)

Data for Tl2P2Ru after structural relaxation.

Cell: 6.063 6.063 5.687 Å, 90.00 90.00 90.00°
Space group P4/mbm (No. 127)
Asymmetric unit:
Tl (0.194, 0.306, 0.000) [4 per cell]
P (0.133, 0.633, 0.500) [4 per cell]
Ru (0.000, 0.000, 0.500) [2 per cell]

***

Let's list DOS at the Fermi energy in order: 2.30; 15.40; 2.67; 7.13; 12.71; 7.57; 4.21; 2.82; 3.92; 1.94; 4.62; 5.48; 4.48; 12.16; 3.46; 6.41; 8.41; 18.14; 8.87; 5.42 states/eV/cell.
Let's list final energy in order: -25.713; -93.613; -24.580; -102.377; -49.724; -32.509; -37.662; -16.592; -25.486; -19.463; -25.356; -33.020; -64.927; -79.608; -25.500; -33.011; -32.635; -64.909; -47.364; -49.632 eV per cell.
Let's list magnetic moment in order: 0.00; 0.32; 0.00; 0.00; 0.00; 0.00; 0.00; 0.00; 0.15; 0.00; 0.00; 0.00; 0.00; 0.00; 0.00; 0.00; 0.18; 0.00; 0.00; 0.00 μB/atom.